# 1
# Ca6CdIn2

An optimized crystal structure of Ca6CdIn2 (PBE-GGA, the Alexandria database).

Cell lengths 5.4478, 10.3201, 10.3460 Å; angles 90.00, 90.00, 90.00 degrees
With the nearest neighbours (Å) after each atom.
Positions (direct):
Ca 0.0000 0.6238 0.8790  2 Cd 3.26, 2 In 3.51-3.52, 1 Ca 3.58
Ca 0.5000 0.1238 0.6210  2 Cd 3.26, 2 In 3.51-3.52, 2 Ca 3.58-3.65
Ca 0.0000 0.9706 0.8101  1 Cd 3.22, 3 In 3.35-3.44
Ca 0.5000 0.1891 0.9679  1 Cd 3.23, 3 In 3.35-3.46
Ca 0.0000 0.3762 0.1210  2 Cd 3.26, 2 In 3.51-3.52, 1 Ca 3.58
Ca 0.0000 0.3109 0.4678  1 Cd 3.23, 3 In 3.35-3.46
Ca 0.0000 0.6891 0.5322  1 Cd 3.23, 3 In 3.35-3.46
Ca 0.5000 0.8762 0.3790  2 Cd 3.26, 2 In 3.51-3.52, 2 Ca 3.58-3.65
Ca 0.5000 0.5294 0.3101  1 Cd 3.22, 3 In 3.35-3.44
Ca 0.0000 0.0294 0.1899  1 Cd 3.22, 3 In 3.35-3.44
Ca 0.5000 0.8109 0.0321  1 Cd 3.23, 3 In 3.35-3.46
Ca 0.5000 0.4706 0.6899  1 Cd 3.22, 3 In 3.35-3.44
In 0.5000 0.7947 0.7086  10 Ca 3.35-3.69
In 0.0000 0.7053 0.2087  10 Ca 3.35-3.69
In 0.5000 0.2053 0.2914  10 Ca 3.35-3.69
In 0.0000 0.2947 0.7913  10 Ca 3.35-3.69
Cd 0.0000 0.0000 0.5000  8 Ca 3.22-3.26
Cd 0.5000 0.5000 0.0000  8 Ca 3.22-3.26

Output
Energy relative to the elements   -0.312 eV/atom
Total DFT energy (no corrections)   -2.357 eV per atom
Symmetry   Pnnm (58)
V   581.7 Å³ per cell

***

# 2
# Dy5Tl2Ni

An optimized crystal structure of Dy5Tl2Ni (PBE-GGA, the Alexandria database).

Cell lengths 4.7574, 7.3315, 12.3470 Å; angles 90.00, 90.00, 90.00 degrees
With the nearest neighbours (Å) after each atom.
Positions (direct):
Dy 0.0000 0.8764 0.2070  1 Ni 2.71
Dy 0.0000 0.1236 0.7930  1 Ni 2.71
Dy 0.0000 0.5000 0.0000  4 Tl 3.20, 4 Dy 3.49
Dy 0.5000 0.1785 0.0782  2 Ni 2.88
Dy 0.5000 0.6785 0.4218  2 Ni 2.88
Dy 0.0000 0.3764 0.2930  1 Ni 2.71
Dy 0.5000 0.8215 0.9218  2 Ni 2.88
Dy 0.5000 0.3215 0.5782  2 Ni 2.88
Dy 0.0000 0.0000 0.5000  4 Tl 3.20, 4 Dy 3.49
Dy 0.0000 0.6236 0.7070  1 Ni 2.71
Ni 0.0000 0.5000 0.5000  6 Dy 2.71-2.88
Ni 0.0000 0.0000 0.0000  6 Dy 2.71-2.88
Tl 0.5000 0.5979 0.1638  9 Dy 3.18-3.41
Tl 0.5000 0.0979 0.3362  9 Dy 3.18-3.41
Tl 0.5000 0.9021 0.6638  9 Dy 3.18-3.41
Tl 0.5000 0.4021 0.8362  9 Dy 3.18-3.41

Output
Energy relative to the elements   -0.293 eV/atom
Total DFT energy (no corrections)   -4.483 eV per atom
Symmetry   Pbam (55)
V   430.7 Å³ per cell

***

# 3
# TaHgRh2Br

An optimized crystal structure of TaHgRh2Br (PBE-GGA, the Alexandria database).

Cell lengths 4.9730, 4.9197, 4.9730 Å; angles 90.00, 90.00, 90.00 degrees
With the nearest neighbours (Å) after each atom.
Positions (direct):
Hg 0.0000 0.0000 0.0000  2 Br 2.46, 4 Rh 2.49
Rh 0.5000 0.0000 0.0000  2 Hg 2.49
Rh 0.0000 0.0000 0.5000  2 Hg 2.49
Br 0.0000 0.5000 0.0000  2 Hg 2.46
Ta 0.5000 0.5000 0.5000  8 Rh 3.50, 4 Br 3.52

Output
Total DFT energy (no corrections)   -3.695 eV per atom
Symmetry   P4/mmm (123)
V   121.7 Å³ per cell
Uncorrected formation energy   2.011 eV/atom

***

# 4
# CuAsRu2

An optimized crystal structure of CuAsRu2 (PBE-GGA, the Alexandria database).

Cell lengths 4.8466, 4.8466, 4.3927 Å; angles 71.19, 71.19, 35.05 degrees
With the nearest neighbours (Å) after each atom.
Positions (direct):
Ru 0.2581 0.2581 0.3297  3 As 2.52-2.61, 4 Cu 2.63-2.65, 2 Ru 2.76
Ru 0.9941 0.9941 0.9046  3 Cu 2.49-2.60, 4 As 2.53-2.76, 2 Ru 2.76
Cu 0.7358 0.7358 0.8426  7 Ru 2.49-2.65, 1 As 2.69
As 0.5121 0.5121 0.4232  7 Ru 2.52-2.76, 1 Cu 2.69

Output
Energy relative to the elements   0.131 eV/atom
Total DFT energy (no corrections)   -6.694 eV per atom
Symmetry   Cm (8)
V   55.8 Å³ per cell